Here is a geometry-optimized CeFeTc2 structure from Alexandria. Energies are from GGA-PBE.

Lattice parameters (Å, degrees): 4.5164 4.5164 4.5164 60.00 60.00 60.00
Closest atoms and distances in Å follow each position.
Sites, in units of the cell vectors:
Ce (0.0000, 0.0000, 0.0000)  8 Tc 2.77
Fe (0.5000, 0.5000, 0.5000)  8 Tc 2.77
Tc (0.2500, 0.2500, 0.2500)  4 Ce 2.77, 4 Fe 2.77
Tc (0.7500, 0.7500, 0.7500)  4 Fe 2.77, 4 Ce 2.77

Values from the calculation:
space-group type	No. 225
ΔE_f	0.225	eV per atom
calculated density	10.0	g/cm³